VASP calculation (PBE) on an optimized crystal structure of Pa2Tc3Ge4.

```
Pa2Tc3Ge4
1.0
0.0000 4.8016 6.3542
2.6943 0.0000 6.3542
2.6943 4.8016 0.0000
Pa Tc Ge
2 3 4
Cartesian
2.6943 4.8016 1.6501
2.6943 4.8016 11.0584
1.3472 2.4008 0.0000
1.3472 2.4008 6.3542
2.6943 4.8016 6.3542
2.6943 3.2357 4.2515
2.6943 6.3676 4.2515
2.6943 3.2357 8.4569
2.6943 6.3676 8.4569
```



VASP calculation (PBE) on an optimized crystal structure of PaTc2Ge.

```
PaTc2Ge
1.0
0.0000 3.2658 3.2658
3.2658 0.0000 3.2658
3.2658 3.2658 0.0000
Pa Tc Ge
1 2 1
Cartesian
0.0000 0.0000 0.0000
1.6329 1.6329 1.6329
4.8988 4.8988 4.8988
3.2658 3.2658 3.2658
```



VASP calculation (PBE) on an optimized crystal structure of Pa4Tc4Ge.

```
Pa4Tc4Ge
1.0
-4.4619 4.4619 2.4309
4.4619 -4.4619 2.4309
4.4619 4.4619 -2.4309
Pa Tc Ge
4 4 1
Cartesian
6.1635 0.8921 0.0000
0.8921 2.7604 0.0000
3.5698 1.7015 2.4309
-1.7015 3.5698 2.4309
3.9752 2.3806 0.0000
2.0813 -0.4867 2.4309
2.3806 4.9486 0.0000
0.4867 2.0813 2.4309
0.0000 0.0000 0.0000
```



VASP calculation (PBE) on an optimized crystal structure of PaTc4Ge.

```
PaTc4Ge
1.0
6.0315 0.0000 0.0000
0.0000 4.4841 0.0000
0.0000 0.0000 7.4328
Pa Tc Ge
2 8 2
Cartesian
1.5079 0.0000 1.1567
4.5236 0.0000 6.2761
0.0000 0.0000 3.7164
0.0797 2.2421 5.9852
1.5079 2.2421 3.6428
2.9361 2.2421 5.9852
3.0158 0.0000 3.7164
3.0954 2.2421 1.4476
4.5236 2.2421 3.7900
5.9519 2.2421 1.4476
1.5079 0.0000 5.7271
4.5236 0.0000 1.7057
```



VASP calculation (PBE) on an optimized crystal structure of Pa8Tc6Ge.

```
Pa8Tc6Ge
1.0
4.4312 2.5583 4.8056
-4.4312 2.5583 4.8056
0.0000 -5.1167 4.8056
Pa Tc Ge
8 6 1
Cartesian
-2.4108 0.1077 5.7550
0.0000 0.0000 3.3995
-1.2987 -2.0340 8.6618
1.1122 -2.1417 5.7550
-1.1122 2.1417 8.6618
1.2987 2.0340 5.7550
0.0000 0.0000 11.0173
2.4108 -0.1077 8.6618
-1.1644 -3.7897 6.1513
-3.8642 -0.8865 8.2655
-2.6998 2.9032 6.1513
2.6998 -2.9032 8.2655
3.8642 0.8865 6.1513
1.1644 3.7897 8.2655
0.0000 0.0000 7.2084
```



VASP calculation (PBE) on an optimized crystal structure of PaTc2Ge2.

```
PaTc2Ge2
1.0
2.1480 1.2401 5.6836
-2.1480 1.2401 5.6836
0.0000 -2.4803 5.6836
Pa Tc Ge
1 2 2
Cartesian
0.0000 0.0000 0.0000
0.0000 0.0000 3.1451
0.0000 0.0000 13.9057
0.0000 0.0000 7.2108
0.0000 0.0000 9.8400
```



VASP calculation (PBE) on an optimized crystal structure of Pa2TcGe.

```
Pa2TcGe
1.0
2.0004 1.1549 6.8279
-2.0004 1.1549 6.8279
0.0000 -2.3098 6.8279
Pa Tc Ge
2 1 1
Cartesian
0.0000 0.0000 4.9581
0.0000 0.0000 15.5257
0.0000 0.0000 10.2419
0.0000 0.0000 0.0000
```



VASP calculation (PBE) on an optimized crystal structure of Pa4TcGe3.

```
Pa4TcGe3
1.0
4.0685 0.0000 0.0000
0.0000 4.2098 0.0000
0.0000 0.0000 10.4823
Pa Tc Ge
4 1 3
Cartesian
0.0000 0.0000 0.0000
0.0000 2.1049 2.7749
2.0343 0.0000 5.0449
2.0343 2.1049 8.0000
2.0343 0.0000 2.3471
0.0000 0.0000 7.5852
0.0000 2.1049 5.6452
2.0343 2.1049 0.4793
```



Summary of energy of formation in eV per atom
-0.33 -0.26 -0.05 -0.10 -0.07 -0.30 -0.21 -0.40
(order as listed above)